A relaxed TcNiO2 crystal. Source: the Alexandria database, functional PBE with a Hubbard U.

```
data_TcNiO2
_cell_length_a 2.8751
_cell_length_b 5.6120
_cell_length_c 6.1087
_cell_angle_alpha 75.24
_cell_angle_beta 89.89
_cell_angle_gamma 75.17
_symmetry_space_group_name_H-M 'P 1'
_symmetry_Int_Tables_number 1
loop_
_symmetry_equiv_pos_as_xyz
'x,y,z'
loop_
_atom_site_label
_atom_site_type_symbol
_atom_site_fract_x
_atom_site_fract_y
_atom_site_fract_z
Tc1 Tc 0.0000 0.0000 0.0000
Tc2 Tc 0.3081 0.3859 0.8048
Ni1 Ni 0.5398 0.9174 0.4427
Ni2 Ni 0.7385 0.5206 0.2399
O1 O 0.1963 0.6075 0.0071
O2 O 0.4894 0.0228 0.7461
O3 O 0.7379 0.5289 0.5586
O4 O 0.9292 0.1402 0.2850
```

Properties
DOS at the Fermi energy in states/eV per atom: 0.46
Energy above the lowest structure with this stoichiometry in eV per atom: 0.183